1.
Computed, not measured: Tc3Se after structural relaxation at the PBE level of DFT.

Properties
formation energy without anion corrections	0.169	eV/atom
spin magnetization	0.000	μB per atom
DOS at the Fermi energy	7.322	states/eV per cell
energy relative to the lowest polymorph listed for this composition	0.069	eV/atom

a b c (Å): 2.980 4.415 8.922
angles (deg): 90.00 90.00 90.00
Space group Immm (No. 71)
Unique sites:
Tc: 0.000 0.000 0.000
Tc: 0.000 0.500 0.225
Se: 0.000 0.000 0.500

2.
Computed, not measured: Tc3Se5 after structural relaxation at the PBE level of DFT.

Properties
formation energy without anion corrections	0.110	eV/atom
spin magnetization	0.000	μB per atom
DOS at the Fermi energy	8.398	states/eV per cell
energy relative to the lowest polymorph listed for this composition	0.000	eV/atom

a b c (Å): 6.781 7.680 7.681
angles (deg): 78.84 63.87 63.92
Space group P-1 (No. 2)
Unique sites:
Tc: 0.085 0.269 0.060
Tc: 0.280 0.000 0.499
Tc: 0.356 0.559 0.231
Se: 0.112 0.706 0.568
Se: 0.181 0.933 0.206
Se: 0.249 0.501 0.002
Se: 0.285 0.231 0.700
Se: 0.484 0.799 0.731

3.
Computed, not measured: Tc3Se after structural relaxation at the PBE level of DFT.

Properties
formation energy without anion corrections	0.526	eV/atom
spin magnetization	0.000	μB per atom
DOS at the Fermi energy	8.996	states/eV per cell
energy relative to the lowest polymorph listed for this composition	0.427	eV/atom

a b c (Å): 2.962 4.715 8.861
angles (deg): 90.00 90.00 90.00
Space group Cmmm (No. 65)
Unique sites:
Tc: 0.000 0.000 0.000
Tc: 0.000 0.500 0.244
Se: 0.000 0.000 0.500

4.
Computed, not measured: Tc4Se after structural relaxation at the PBE level of DFT.

Properties
formation energy without anion corrections	1.152	eV/atom
spin magnetization	0.001	μB per atom
DOS at the Fermi energy	16.590	states/eV per cell
energy relative to the lowest polymorph listed for this composition	0.000	eV/atom

a b c (Å): 5.584 5.584 5.584
angles (deg): 90.00 90.00 90.00
Space group Im-3m (No. 229)
Unique sites:
Tc: 0.250 0.250 0.250
Se: 0.000 0.000 0.000

5.
Computed, not measured: Tc3Se after structural relaxation at the PBE level of DFT.

Properties
formation energy without anion corrections	0.379	eV/atom
spin magnetization	0.006	μB per atom
DOS at the Fermi energy	12.029	states/eV per cell
energy relative to the lowest polymorph listed for this composition	0.280	eV/atom

a b c (Å): 6.201 6.201 6.201
angles (deg): 90.00 90.00 90.00
Space group Fm-3m (No. 225)
Unique sites:
Tc: 0.000 0.000 0.000
Tc: 0.250 0.250 0.250
Se: 0.000 0.000 0.500

6.
Computed, not measured: Tc5Se3 after structural relaxation at the PBE level of DFT.

Properties
formation energy without anion corrections	0.255	eV/atom
spin magnetization	0.000	μB per atom
DOS at the Fermi energy	10.970	states/eV per cell
energy relative to the lowest polymorph listed for this composition	0.000	eV/atom

a b c (Å): 6.218 8.729 4.441
angles (deg): 90.00 90.00 90.00
Space group Cmmm (No. 65)
Unique sites:
Tc: 0.000 0.000 0.000
Tc: 0.237 0.000 0.500
Tc: 0.250 0.250 0.000
Se: 0.000 0.244 0.500
Se: 0.000 0.500 0.000

7.
Computed, not measured: Tc5Se after structural relaxation at the PBE level of DFT.

Properties
formation energy without anion corrections	0.263	eV/atom
spin magnetization	0.000	μB per atom
DOS at the Fermi energy	14.049	states/eV per cell
energy relative to the lowest polymorph listed for this composition	0.138	eV/atom

a b c (Å): 3.916 11.578 3.944
angles (deg): 90.00 90.00 90.00
Space group Cmmm (No. 65)
Unique sites:
Tc: 0.000 0.000 0.000
Tc: 0.000 0.177 0.500
Tc: 0.000 0.330 0.000
Se: 0.000 0.500 0.500

8.
Computed, not measured: Tc3Se after structural relaxation at the PBE level of DFT.

Properties
formation energy without anion corrections	0.188	eV/atom
spin magnetization	0.000	μB per atom
DOS at the Fermi energy	9.313	states/eV per cell
energy relative to the lowest polymorph listed for this composition	0.089	eV/atom

a b c (Å): 2.8692 2.8692 25.2225
angles (deg): 90.00 90.00 120.00
Space group R-3m (No. 166, hexagonal axes)
Unique sites:
Tc: 0.0000 0.0000 0.0000
Tc: 0.0000 0.0000 0.2486
Se: 0.0000 0.0000 0.5000

9.
Computed, not measured: TcSe5 after structural relaxation at the PBE level of DFT.

Properties
formation energy without anion corrections	0.068	eV/atom
spin magnetization	0.053	μB per atom
DOS at the Fermi energy	2.430	states/eV per cell
energy relative to the lowest polymorph listed for this composition	0.000	eV/atom

a b c (Å): 15.270 3.324 6.783
angles (deg): 90.00 115.53 90.00
Space group Cm (No. 8)
Unique sites:
Tc: 0.000 0.000 0.000
Se: 0.000 0.000 0.392
Se: 0.124 0.500 0.890
Se: 0.125 0.500 0.241
Se: 0.375 0.000 0.999
Se: 0.377 0.000 0.651

10.
Computed, not measured: TcSe3 after structural relaxation at the PBE level of DFT.

Properties
formation energy without anion corrections	0.424	eV/atom
spin magnetization	0.012	μB per atom
DOS at the Fermi energy	7.294	states/eV per cell
energy relative to the lowest polymorph listed for this composition	0.439	eV/atom

a b c (Å): 4.920 4.920 4.920
angles (deg): 90.00 90.00 90.00
Space group Pm-3m (No. 221)
Unique sites:
Tc: 0.000 0.000 0.000
Se: 0.000 0.000 0.500

11.
Computed, not measured: TcSe3 after structural relaxation at the PBE level of DFT.

Properties
formation energy without anion corrections	0.388	eV/atom
spin magnetization	0.001	μB per atom
DOS at the Fermi energy	4.437	states/eV per cell
energy relative to the lowest polymorph listed for this composition	0.403	eV/atom

a b c (Å): 3.380 4.522 5.770
angles (deg): 90.00 90.00 90.00
Space group Pmm2 (No. 25)
Unique sites:
Tc: 0.000 0.000 0.000
Se: 0.000 0.500 0.801
Se: 0.500 0.000 0.694
Se: 0.500 0.500 0.197

12.
Computed, not measured: TcSe5 after structural relaxation at the PBE level of DFT.

Properties
formation energy without anion corrections	0.230	eV/atom
spin magnetization	0.000	μB per atom
DOS at the Fermi energy	3.001	states/eV per cell
energy relative to the lowest polymorph listed for this composition	0.161	eV/atom

a b c (Å): 7.4567 7.4567 2.9747
angles (deg): 90.00 90.00 120.00
Space group P-62m (No. 189)
Unique sites:
Tc: 0.0000 0.0000 0.0000
Se: 0.0000 0.7326 0.5000
Se: 0.3333 0.6667 0.0000

13.
Computed, not measured: Tc5Se4 after structural relaxation at the PBE level of DFT.

Properties
formation energy without anion corrections	0.414	eV/atom
spin magnetization	0.108	μB per atom
DOS at the Fermi energy	21.251	states/eV per cell

a b c (Å): 7.6568 7.6568 5.5627
angles (deg): 90.00 90.00 120.00
Space group P6_3/mcm (No. 193)
Unique sites:
Tc: 0.0000 0.3206 0.2500
Tc: 0.3333 0.6667 0.0000
Se: 0.0000 0.0000 0.0000
Se: 0.0000 0.3669 0.7500

14.
Computed, not measured: TcSe3 after structural relaxation at the PBE level of DFT.

Properties
formation energy without anion corrections	0.709	eV/atom
spin magnetization	0.000	μB per atom
DOS at the Fermi energy	7.413	states/eV per cell
energy relative to the lowest polymorph listed for this composition	0.724	eV/atom

a b c (Å): 5.177 8.478 3.380
angles (deg): 90.00 90.00 90.00
Space group Cmmm (No. 65)
Unique sites:
Tc: 0.000 0.000 0.000
Se: 0.000 0.500 0.000
Se: 0.250 0.250 0.500

15.
Computed, not measured: Tc3Se after structural relaxation at the PBE level of DFT.

Properties
formation energy without anion corrections	0.620	eV/atom
spin magnetization	0.000	μB per atom
DOS at the Fermi energy	12.973	states/eV per cell
energy relative to the lowest polymorph listed for this composition	0.521	eV/atom

a b c (Å): 4.952 4.952 4.952
angles (deg): 90.00 90.00 90.00
Space group Pm-3n (No. 223)
Unique sites:
Tc: 0.000 0.250 0.500
Se: 0.000 0.000 0.000

16.
Computed, not measured: Tc5Se after structural relaxation at the PBE level of DFT.

Properties
formation energy without anion corrections	0.132	eV/atom
spin magnetization	0.000	μB per atom
DOS at the Fermi energy	12.402	states/eV per cell
energy relative to the lowest polymorph listed for this composition	0.007	eV/atom

a b c (Å): 10.077 2.889 6.455
angles (deg): 90.00 107.25 90.00
Space group Cm (No. 8)
Unique sites:
Tc: 0.000 0.000 0.000
Tc: 0.048 0.000 0.640
Tc: 0.124 0.500 0.353
Tc: 0.219 0.500 0.958
Tc: 0.323 0.000 0.660
Se: 0.360 0.000 0.285

17.
Computed, not measured: TcSe3 after structural relaxation at the PBE level of DFT.

Properties
formation energy without anion corrections	0.337	eV/atom
spin magnetization	0.028	μB per atom
DOS at the Fermi energy	7.380	states/eV per cell
energy relative to the lowest polymorph listed for this composition	0.352	eV/atom

a b c (Å): 3.069 4.896 10.782
angles (deg): 90.00 90.00 90.00
Space group Cmmm (No. 65)
Unique sites:
Tc: 0.000 0.000 0.000
Se: 0.000 0.000 0.500
Se: 0.000 0.500 0.190

18.
Computed, not measured: Tc3Se after structural relaxation at the PBE level of DFT.

Properties
formation energy without anion corrections	0.283	eV/atom
spin magnetization	0.000	μB per atom
DOS at the Fermi energy	3.306	states/eV per cell
energy relative to the lowest polymorph listed for this composition	0.184	eV/atom

a b c (Å): 2.935 4.526 4.576
angles (deg): 90.00 90.00 90.00
Space group Pmm2 (No. 25)
Unique sites:
Tc: 0.000 0.000 0.000
Tc: 0.000 0.500 0.248
Tc: 0.500 0.500 0.744
Se: 0.500 0.000 0.481

19.
Computed, not measured: TcSe3 after structural relaxation at the PBE level of DFT.

Properties
formation energy without anion corrections	0.008	eV/atom
spin magnetization	0.000	μB per atom
DOS at the Fermi energy	3.077	states/eV per cell
energy relative to the lowest polymorph listed for this composition	0.024	eV/atom

a b c (Å): 2.957 2.957 9.594
angles (deg): 90.00 90.00 90.00
Space group P4/mmm (No. 123)
Unique sites:
Tc: 0.000 0.000 0.000
Se: 0.000 0.000 0.500
Se: 0.500 0.500 0.167

20.
Computed, not measured: TcSe3 after structural relaxation at the PBE level of DFT.

Properties
formation energy without anion corrections	0.861	eV/atom
spin magnetization	0.000	μB per atom
DOS at the Fermi energy	3.885	states/eV per cell
energy relative to the lowest polymorph listed for this composition	0.877	eV/atom

a b c (Å): 4.167 4.167 4.167
angles (deg): 90.00 90.00 90.00
Space group Pm-3m (No. 221)
Unique sites:
Tc: 0.000 0.000 0.000
Se: 0.000 0.500 0.500

21.
Computed, not measured: Tc3Se after structural relaxation at the PBE level of DFT.

Properties
formation energy without anion corrections	0.438	eV/atom
spin magnetization	0.000	μB per atom
DOS at the Fermi energy	10.169	states/eV per cell
energy relative to the lowest polymorph listed for this composition	0.338	eV/atom

a b c (Å): 3.770 3.770 8.369
angles (deg): 90.00 90.00 90.00
Space group I4/mmm (No. 139)
Unique sites:
Tc: 0.000 0.000 0.000
Tc: 0.000 0.500 0.250
Se: 0.000 0.000 0.500

22.
Computed, not measured: Tc5Se after structural relaxation at the PBE level of DFT.

Properties
formation energy without anion corrections	0.681	eV/atom
spin magnetization	0.000	μB per atom
DOS at the Fermi energy	28.764	states/eV per cell
energy relative to the lowest polymorph listed for this composition	0.556	eV/atom

a b c (Å): 7.263 7.263 7.263
angles (deg): 90.00 90.00 90.00
Space group F-43m (No. 216)
Unique sites:
Tc: 0.000 0.000 0.000
Tc: 0.125 0.125 0.625
Se: 0.250 0.250 0.250

23.
Computed, not measured: Tc3Se after structural relaxation at the PBE level of DFT.

Properties
formation energy without anion corrections	0.630	eV/atom
spin magnetization	0.423	μB per atom
DOS at the Fermi energy	7.381	states/eV per cell
energy relative to the lowest polymorph listed for this composition	0.531	eV/atom

a b c (Å): 3.922 3.922 3.922
angles (deg): 90.00 90.00 90.00
Space group Pm-3m (No. 221)
Unique sites:
Tc: 0.000 0.000 0.500
Se: 0.500 0.500 0.500

24.
Computed, not measured: TcSe3 after structural relaxation at the PBE level of DFT.

Properties
formation energy without anion corrections	0.149	eV/atom
spin magnetization	0.000	μB per atom
DOS at the Fermi energy	5.691	states/eV per cell
energy relative to the lowest polymorph listed for this composition	0.165	eV/atom

a b c (Å): 3.090 4.505 11.634
angles (deg): 90.00 90.00 90.00
Space group Immm (No. 71)
Unique sites:
Tc: 0.000 0.000 0.000
Se: 0.000 0.000 0.500
Se: 0.000 0.500 0.325

25.
Computed, not measured: TcSe5 after structural relaxation at the PBE level of DFT.

Properties
formation energy without anion corrections	0.785	eV/atom
spin magnetization	0.818	μB per atom
DOS at the Fermi energy	6.377	states/eV per cell
energy relative to the lowest polymorph listed for this composition	0.717	eV/atom

a b c (Å): 5.0238 5.0238 8.3860
angles (deg): 90.00 90.00 120.00
Space group P6/mmm (No. 191)
Unique sites:
Tc: 0.0000 0.0000 0.0000
Se: 0.0000 0.5000 0.5000
Se: 0.3333 0.6667 0.0000

26.
Computed, not measured: Tc3Se5 after structural relaxation at the PBE level of DFT.

Properties
formation energy without anion corrections	0.282	eV/atom
spin magnetization	0.000	μB per atom
DOS at the Fermi energy	17.872	states/eV per cell
energy relative to the lowest polymorph listed for this composition	0.172	eV/atom

a b c (Å): 7.8117 7.8117 5.4335
angles (deg): 90.00 90.00 120.00
Space group P6_3/mcm (No. 193)
Unique sites:
Tc: 0.0000 0.4088 0.2500
Se: 0.0000 0.2723 0.7500
Se: 0.3333 0.6667 0.0000